The following is a PBE+U calculation of a relaxed structure of IrWO2, from the Alexandria database.

abc: 7.0819 7.0819 7.0819
angles: 22.56 22.56 22.56
Sites, in units of the cell vectors:
O 0.9021 0.9021 0.9021
W 0.5000 0.5000 0.5000
Ir 0.0000 0.0000 0.0000
O 0.0979 0.0979 0.0979

Crystal system   trigonal
Energy relative to the lowest polymorph listed for this composition   0.000 eV/atom